Computed, not measured: crystalline LiBeCrO4 at its relaxed geometry at the GGA+U level of DFT.

The calculation puts the electronic total energy at -6.565 eV/atom.

Cell lengths 4.5927, 4.5927, 7.5473 Å; angles 90.00, 90.00, 90.00 degrees
With the nearest neighbours (Å) after each atom.
Sites, in units of the cell vectors:
Li: 0.0000 0.0000 0.0000  4 O 2.05
Li: 0.5000 0.5000 0.5000  4 O 2.05
Be: 0.0000 0.5000 0.7500  4 O 1.64
Be: 0.5000 0.0000 0.2500  4 O 1.64
Cr: 0.0000 0.0000 0.5000  4 O 1.73
Cr: 0.5000 0.5000 0.0000  4 O 1.73
O: 0.1707 0.2715 0.6202  1 Be 1.64, 1 Cr 1.73
O: 0.2285 0.6707 0.8798  1 Be 1.64, 1 Cr 1.73
O: 0.2715 0.8293 0.3798  1 Be 1.64, 1 Cr 1.73
O: 0.3293 0.2285 0.1202  1 Be 1.64, 1 Cr 1.73
O: 0.6707 0.7715 0.1202  1 Be 1.64, 1 Cr 1.73
O: 0.7285 0.1707 0.3798  1 Be 1.64, 1 Cr 1.73
O: 0.7715 0.3293 0.8798  1 Be 1.64, 1 Cr 1.73
O: 0.8293 0.7285 0.6202  1 Be 1.64, 1 Cr 1.73